<one>
The following is a DFT calculation (PBE-GGA) of a geometry-optimized Ir3C structure.

a = 2.7996 Å, b = 2.7363 Å, c = 6.8193 Å
α = 90.00°, β = 90.00°, γ = 90.00°
Fractional positions:
C (0.0000, 0.0000, 0.0127)
Ir (0.5000, 0.5000, 0.8770)
Ir (0.0000, 0.5000, 0.2472)
Ir (0.5000, 0.0000, 0.5297)



<two>
The following is a DFT calculation (PBE-GGA) of a geometry-optimized Ir3C structure.

a = 5.5227 Å, b = 5.5227 Å, c = 3.9129 Å
α = 90.00°, β = 90.00°, γ = 91.69°
Fractional positions:
C (0.6361, 0.3639, 0.2500)
Ir (0.8872, 0.1128, 0.2500)
Ir (0.1423, 0.3719, 0.7500)
Ir (0.8577, 0.6281, 0.2500)
C (0.3639, 0.6361, 0.7500)
Ir (0.6281, 0.8577, 0.7500)
Ir (0.3719, 0.1423, 0.2500)
Ir (0.1128, 0.8872, 0.7500)



Which structure loses on stability? <one> does.



<one>
The following is a DFT calculation (PBE-GGA) of a geometry-optimized Ir5C3 structure.

a = 6.5422 Å, b = 6.5422 Å, c = 6.1775 Å
α = 79.00°, β = 79.00°, γ = 121.92°
Fractional positions:
C (0.2172, 0.7172, 0.9710)
Ir (0.3318, 0.8318, 0.4561)
Ir (0.0639, 0.3258, 0.7178)
Ir (0.7044, 0.2044, 0.5228)
Ir (0.5015, 0.7072, 0.7873)
Ir (0.8258, 0.5639, 0.7178)
Ir (0.5206, 0.3228, 0.1850)
C (0.7561, 0.7714, 0.5001)
C (0.6004, 0.7131, 0.0866)
Ir (0.2072, 0.0015, 0.7873)
Ir (0.8228, 0.0206, 0.1850)
Ir (0.2118, 0.4761, 0.2462)
Ir (0.9761, 0.7118, 0.2462)
C (0.7825, 0.2825, 0.9971)
C (0.2714, 0.2561, 0.5001)
C (0.2131, 0.1004, 0.0866)



<two>
The following is a DFT calculation (PBE-GGA) of a geometry-optimized Ir5C3 structure.

a = 5.6619 Å, b = 7.2259 Å, c = 6.6805 Å
α = 90.00°, β = 90.00°, γ = 127.07°
Fractional positions:
Ir (0.6588, 0.0761, 0.7500)
C (0.0497, 0.3863, 0.7500)
Ir (0.3412, 0.9239, 0.2500)
Ir (0.3052, 0.6402, 0.9568)
C (0.6353, 0.7861, 0.7500)
C (0.2702, 0.0211, 0.7500)
C (0.3647, 0.2138, 0.2500)
Ir (0.3052, 0.6402, 0.5432)
C (0.9503, 0.6137, 0.2500)
Ir (0.0830, 0.2856, 0.2500)
Ir (0.9171, 0.7145, 0.7500)
C (0.7299, 0.9790, 0.2500)
Ir (0.6948, 0.3597, 0.4568)
Ir (0.3396, 0.3126, 0.7500)
Ir (0.6605, 0.6874, 0.2500)
Ir (0.6948, 0.3597, 0.0432)



Which structure loses on stability? <one> does.



<one>
The following is a DFT calculation (PBE-GGA) of a geometry-optimized Ir5C3 structure.

a = 6.3478 Å, b = 6.3478 Å, c = 2.9842 Å
α = 90.00°, β = 90.00°, γ = 113.98°
Fractional positions:
C (0.5000, 0.5000, 0.5000)
Ir (0.5962, 0.8460, 0.5000)
Ir (0.8460, 0.5962, 0.5000)
C (0.5000, 0.0000, 0.0000)
C (0.0000, 0.5000, 0.0000)
Ir (0.0000, 0.0000, 0.0000)
Ir (0.4038, 0.1540, 0.5000)
Ir (0.1540, 0.4038, 0.5000)



<two>
The following is a DFT calculation (PBE-GGA) of a geometry-optimized Ir5C3 structure.

a = 2.7249 Å, b = 2.7249 Å, c = 12.2556 Å
α = 90.00°, β = 90.00°, γ = 90.00°
Fractional positions:
C (0.0000, 0.0000, 0.5000)
Ir (0.5000, 0.5000, 0.6074)
C (0.5000, 0.5000, 0.1249)
Ir (0.0000, 0.0000, 0.2160)
C (0.5000, 0.5000, 0.8751)
Ir (0.0000, 0.0000, 0.7840)
Ir (0.0000, 0.0000, 0.0000)
Ir (0.5000, 0.5000, 0.3926)



Which structure loses on stability? <two> does.



<one>
The following is a DFT calculation (PBE-GGA) of a geometry-optimized Ir3C4 structure.

a = 4.2896 Å, b = 4.2896 Å, c = 4.2896 Å
α = 90.00°, β = 90.00°, γ = 90.00°
Fractional positions:
C (0.0000, 0.5000, 0.5000)
C (0.0000, 0.0000, 0.0000)
C (0.5000, 0.5000, 0.0000)
C (0.5000, 0.0000, 0.5000)
Ir (0.5000, 0.0000, 0.0000)
Ir (0.0000, 0.0000, 0.5000)
Ir (0.0000, 0.5000, 0.0000)



<two>
The following is a DFT calculation (PBE-GGA) of a geometry-optimized Ir3C4 structure.

a = 7.5555 Å, b = 7.5555 Å, c = 7.5555 Å
α = 155.82°, β = 155.82°, γ = 34.45°
Fractional positions:
C (0.5462, 0.5462, 0.0000)
C (0.1632, 0.1632, 0.0000)
C (0.4538, 0.4538, 0.0000)
C (0.8368, 0.8368, 0.0000)
Ir (0.3118, 0.3118, 0.0000)
Ir (0.0000, 0.0000, 0.0000)
Ir (0.6882, 0.6882, 0.0000)



Which structure loses on stability? <one> does.



<one>
The following is a DFT calculation (PBE-GGA) of a geometry-optimized Ir3C4 structure.

a = 5.8113 Å, b = 5.8113 Å, c = 2.6662 Å
α = 90.00°, β = 90.00°, γ = 120.00°
Fractional positions:
Ir (0.5000, 0.0000, 0.0000)
Ir (0.5000, 0.5000, 0.0000)
Ir (0.0000, 0.5000, 0.0000)
C (0.0000, 0.0000, 0.7423)
C (0.6667, 0.3333, 0.5000)
C (0.0000, 0.0000, 0.2577)
C (0.3333, 0.6667, 0.5000)



<two>
The following is a DFT calculation (PBE-GGA) of a geometry-optimized Ir3C4 structure.

a = 4.6091 Å, b = 4.6091 Å, c = 4.6091 Å
α = 90.00°, β = 90.00°, γ = 90.00°
Fractional positions:
C (0.2640, 0.7360, 0.2640)
C (0.7360, 0.2640, 0.2640)
Ir (0.0000, 0.5000, 0.5000)
Ir (0.5000, 0.5000, 0.0000)
C (0.7360, 0.7360, 0.7360)
Ir (0.5000, 0.0000, 0.5000)
C (0.2640, 0.2640, 0.7360)



Which structure loses on stability? <one> does.



<one>
The following is a DFT calculation (PBE-GGA) of a geometry-optimized IrC5 structure.

a = 7.2880 Å, b = 7.2880 Å, c = 2.5489 Å
α = 90.00°, β = 90.00°, γ = 153.93°
Fractional positions:
C (0.6902, 0.3098, 0.5000)
C (0.8378, 0.1622, 0.0000)
C (0.7393, 0.2607, 0.0000)
C (0.5893, 0.4107, 0.5000)
Ir (0.9390, 0.0610, 0.5000)
C (0.5377, 0.4623, 0.0000)



<two>
The following is a DFT calculation (PBE-GGA) of a geometry-optimized IrC5 structure.

a = 3.2806 Å, b = 3.2806 Å, c = 5.2548 Å
α = 90.00°, β = 90.00°, γ = 90.00°
Fractional positions:
C (0.0000, 0.0000, 0.7596)
C (0.5000, 0.5000, 0.6243)
Ir (0.5000, 0.5000, 0.0000)
C (0.0000, 0.0000, 0.5000)
C (0.0000, 0.0000, 0.2404)
C (0.5000, 0.5000, 0.3757)



Which structure loses on stability? <two> does.



<one>
The following is a DFT calculation (PBE-GGA) of a geometry-optimized IrC5 structure.

a = 3.4362 Å, b = 3.4362 Å, c = 8.3851 Å
α = 90.00°, β = 90.00°, γ = 120.00°
Site moments in Bohr magnetons follow the coordinates.
Fractional positions:
C (0.0000, 0.5000, 0.5000)  0.10
C (0.6667, 0.3333, 0.0000)  0.00
Ir (0.0000, 0.0000, 0.0000)  0.00
C (0.5000, 0.0000, 0.5000)  0.10
C (0.5000, 0.5000, 0.5000)  0.10
C (0.3333, 0.6667, 0.0000)  0.00



<two>
The following is a DFT calculation (PBE-GGA) of a geometry-optimized IrC5 structure.

a = 4.1924 Å, b = 4.1924 Å, c = 4.1924 Å
α = 60.00°, β = 60.00°, γ = 60.00°
Fractional positions:
Ir (0.0000, 0.0000, 0.0000)
C (0.5932, 0.5932, 0.5932)
C (0.2203, 0.5932, 0.5932)
C (0.5932, 0.2203, 0.5932)
C (0.5932, 0.5932, 0.2203)
C (0.2500, 0.2500, 0.2500)



Which structure loses on stability? <two> does.



<one>
The following is a DFT calculation (PBE-GGA) of a geometry-optimized IrC5 structure.

a = 3.7455 Å, b = 3.7455 Å, c = 4.9629 Å
α = 90.00°, β = 90.00°, γ = 120.00°
Fractional positions:
C (0.2222, 0.2222, 0.0000)
C (0.7778, 0.0000, 0.0000)
C (0.6667, 0.3333, 0.5000)
Ir (0.0000, 0.0000, 0.5000)
C (0.0000, 0.7778, 0.0000)
C (0.3333, 0.6667, 0.5000)



<two>
The following is a DFT calculation (PBE-GGA) of a geometry-optimized IrC5 structure.

a = 3.8241 Å, b = 3.8241 Å, c = 4.1823 Å
α = 90.00°, β = 90.00°, γ = 93.20°
Fractional positions:
C (0.8843, 0.1157, 0.5000)
C (0.2761, 0.7239, 0.0000)
C (0.5187, 0.4813, 0.0000)
C (0.6449, 0.3551, 0.5000)
Ir (0.9336, 0.0664, 0.0000)
C (0.4092, 0.5908, 0.5000)



Which structure loses on stability? <one> does.



<one>
The following is a DFT calculation (PBE-GGA) of a geometry-optimized Ir2C3 structure.

a = 8.5807 Å, b = 7.0556 Å, c = 5.3242 Å
α = 86.57°, β = 55.16°, γ = 38.27°
Fractional positions:
Ir (0.6329, 0.1757, 0.9032)
C (0.6204, 0.9319, 0.6181)
C (0.6319, 0.4203, 0.6296)
C (0.8297, 0.6181, 0.9319)
C (0.6289, 0.8711, 0.8711)
C (0.3789, 0.6211, 0.6211)
Ir (0.2882, 0.9032, 0.1757)
C (0.3181, 0.6296, 0.4203)
Ir (0.0743, 0.6171, 0.9618)
Ir (0.3468, 0.9618, 0.6171)



<two>
The following is a DFT calculation (PBE-GGA) of a geometry-optimized Ir2C3 structure.

a = 8.4197 Å, b = 8.4197 Å, c = 8.4197 Å
α = 21.55°, β = 21.55°, γ = 21.55°
Fractional positions:
Ir (0.3952, 0.3952, 0.3952)
C (0.0000, 0.0000, 0.0000)
C (0.7561, 0.7561, 0.7561)
C (0.2439, 0.2439, 0.2439)
Ir (0.6048, 0.6048, 0.6048)



Which structure loses on stability? <two> does.



<one>
The following is a DFT calculation (PBE-GGA) of a geometry-optimized Ir4C5 structure.

a = 6.6089 Å, b = 6.6089 Å, c = 6.6089 Å
α = 92.18°, β = 92.18°, γ = 157.50°
Fractional positions:
C (0.2813, 0.2813, 0.5626)
C (0.2813, 0.7187, 0.0000)
C (0.7187, 0.2813, 0.0000)
C (0.7187, 0.7187, 0.4374)
Ir (0.0000, 0.7807, 0.7807)
Ir (0.7807, 0.0000, 0.7807)
Ir (0.2193, 0.0000, 0.2193)
C (0.0000, 0.0000, 0.0000)
Ir (0.0000, 0.2193, 0.2193)



<two>
The following is a DFT calculation (PBE-GGA) of a geometry-optimized Ir4C5 structure.

a = 5.9945 Å, b = 5.9945 Å, c = 6.0746 Å
α = 90.00°, β = 90.00°, γ = 120.00°
Fractional positions:
Ir (0.0000, 0.5724, 0.7500)
Ir (0.0000, 0.0000, 0.0000)
C (0.7527, 0.7527, 0.7500)
Ir (0.4276, 0.0000, 0.2500)
C (0.0000, 0.2473, 0.7500)
Ir (0.0000, 0.0000, 0.5000)
Ir (0.0000, 0.4276, 0.2500)
Ir (0.5724, 0.5724, 0.2500)
C (0.3333, 0.6667, 0.5000)
C (0.2473, 0.0000, 0.7500)
C (0.7527, 0.0000, 0.2500)
Ir (0.4276, 0.4276, 0.7500)
C (0.3333, 0.6667, 0.0000)
Ir (0.5724, 0.0000, 0.7500)
C (0.0000, 0.7527, 0.2500)
C (0.6667, 0.3333, 0.0000)
C (0.6667, 0.3333, 0.5000)
C (0.2473, 0.2473, 0.2500)



Which structure loses on stability? <two> does.



<one>
The following is a DFT calculation (PBE-GGA) of a geometry-optimized Ir4C structure.

a = 4.0776 Å, b = 4.0776 Å, c = 4.0776 Å
α = 90.00°, β = 90.00°, γ = 90.00°
Fractional positions:
Ir (0.0000, 0.5000, 0.5000)
Ir (0.0000, 0.0000, 0.0000)
C (0.5000, 0.5000, 0.5000)
Ir (0.5000, 0.5000, 0.0000)
Ir (0.5000, 0.0000, 0.5000)



<two>
The following is a DFT calculation (PBE-GGA) of a geometry-optimized Ir4C structure.

a = 4.5306 Å, b = 4.5306 Å, c = 4.5306 Å
α = 109.47°, β = 109.47°, γ = 109.47°
Fractional positions:
Ir (0.0000, 0.0000, 0.5000)
Ir (0.5000, 0.0000, 0.0000)
Ir (0.0000, 0.5000, 0.0000)
C (0.0000, 0.0000, 0.0000)
Ir (0.5000, 0.5000, 0.5000)



Which structure loses on stability? <two> does.



<one>
The following is a DFT calculation (PBE-GGA) of a geometry-optimized La2MnIrC structure.

a = 5.3761 Å, b = 5.3761 Å, c = 3.8752 Å
α = 90.00°, β = 90.00°, γ = 90.00°
Site moments in Bohr magnetons follow the coordinates.
Fractional positions:
Mn (0.5000, 0.5000, 0.5000)  3.82
Ir (0.0000, 0.0000, 0.5000)  0.12
La (0.0000, 0.5000, 0.0000)  -0.09
C (0.0000, 0.0000, 0.0000)  0.02
La (0.5000, 0.0000, 0.0000)  -0.09



<two>
The following is a DFT calculation (PBE-GGA) of a geometry-optimized La2MnIrC structure.

a = 5.2549 Å, b = 5.2549 Å, c = 3.7713 Å
α = 90.00°, β = 90.00°, γ = 90.00°
Site moments in Bohr magnetons follow the coordinates.
Fractional positions:
Ir (0.5000, 0.5000, 0.5000)  0.21
La (0.0000, 0.5000, 0.0000)  -0.07
Mn (0.0000, 0.0000, 0.5000)  2.62
C (0.0000, 0.0000, 0.0000)  -0.12
La (0.5000, 0.0000, 0.0000)  -0.07



Which structure loses on stability? <one> does.